The following is a PBE calculation of a relaxed Ba4PbSeI2 crystal, from Alexandria via LeMat-Bulk.

Summary:
E   -3.63 eV/atom
SG   P2/m, No. 10

abc: 4.999 8.912 8.594
angles: 70.86 90.00 90.00
Element x y z (fractional)
Ba1 0.500 0.280 0.743
Ba2 0.000 0.290 0.236
I1 0.500 0.000 0.500
I2 0.000 0.000 0.000
Se1 0.500 0.500 0.000
Ba3 0.500 0.720 0.257
Pb1 0.000 0.500 0.500
Ba4 0.000 0.710 0.764


The following is a PBE calculation of a relaxed BaSnPbI6 crystal, from Alexandria via LeMat-Bulk.

Summary:
E   -3.04 eV/atom
SG   P4_2nm, No. 102

abc: 7.799 7.799 14.842
angles: 90.00 90.00 90.00
Element x y z (fractional)
Pb1 0.000 0.000 0.332
I1 0.186 0.814 0.502
I2 0.208 0.792 0.176
I3 0.292 0.292 0.676
I4 0.703 0.703 0.322
I5 0.792 0.208 0.176
Pb2 0.500 0.500 0.832
Ba1 0.000 0.000 0.000
I6 0.814 0.186 0.502
I7 0.297 0.297 0.322
Ba2 0.500 0.500 0.500
I8 0.708 0.708 0.676
I9 0.797 0.203 0.822
I10 0.314 0.314 0.002
Sn1 0.500 0.500 0.168
I11 0.686 0.686 0.002
Sn2 0.000 0.000 0.668
I12 0.203 0.797 0.822


Computed E_form (uncorrected), in the same sequence as the records: -1.378, -0.937 eV/atom.